# 1
The following is a PBE calculation of crystalline CsRbZnHSe at its relaxed geometry, from Alexandria via LeMat-Bulk.

Output
* DOS at the Fermi energy: 0.2827 states/eV/atom
* ΔE to the lowest computed polymorph: 29 meV per atom
* size of the total moment: 0.97 μB/f.u.
* VASP energy: -2.419 eV/atom

Lattice parameters (Å, degrees): 12.5854 4.2919 9.5710 90.00 130.34 90.00
Space group Cm (No. 8)
Asymmetric unit:
Cs: 0.0000 0.0000 0.0000 (multiplicity 2)
Rb: 0.0053 0.5000 0.4985 (multiplicity 2)
Zn: 0.2865 0.0000 0.5844 (multiplicity 2)
H: 0.4589 0.0000 0.7586 (multiplicity 2)
Se: 0.2241 0.5000 0.3961 (multiplicity 2)

=====

# 2
The following is a PBE calculation of crystalline CaAgW at its relaxed geometry, from Alexandria via LeMat-Bulk.

Output
* DOS at the Fermi energy: 1.2426 states/eV/atom
* energy of formation from the pure elements: 1.3608 eV per atom
* ΔE to the lowest computed polymorph: 709 meV per atom
* size of the total moment: 3.58 μB/f.u.
* VASP energy: -4.575 eV/atom

Lattice parameters (Å, degrees): 6.7473 6.7473 6.7473 90.00 90.00 90.00
Space group F-43m (No. 216)
Asymmetric unit:
Ca: 0.0000 0.0000 0.0000 (multiplicity 4)
Ag: 0.2500 0.2500 0.7500 (multiplicity 4)
W: 0.0000 0.0000 0.5000 (multiplicity 4)

=====

# 3
The following is a PBE calculation of crystalline NpPb2Se4 at its relaxed geometry, from Alexandria via LeMat-Bulk.

Output
* uncorrected formation energy: -0.722 eV per atom
* DOS at the Fermi energy: 1.5059 states/eV/atom
* ΔE to the lowest computed polymorph: 0 meV per atom
* size of the total moment: 3.00 μB/f.u.
* VASP energy: -5.621 eV/atom

Lattice parameters (Å, degrees): 8.8282 8.8282 12.1375 90.00 90.00 90.00
Space group P4_122 (No. 91)
Asymmetric unit:
Np: 0.0000 0.2457 0.0000 (multiplicity 4)
Pb: 0.2470 0.5000 0.7500 (multiplicity 4)
Pb: 0.2502 0.2502 0.3750 (multiplicity 4)
Se: 0.0213 0.2310 0.7662 (multiplicity 8)
Se: 0.2307 0.4642 0.0037 (multiplicity 8)

=====

# 4
The following is a PBE calculation of crystalline Er6ZnPd5 at its relaxed geometry, from Alexandria via LeMat-Bulk.

Output
* DOS at the Fermi energy: 0.6391 states/eV/atom
* energy of formation from the pure elements: -0.8262 eV per atom
* size of the total moment: 0.00 μB/f.u.
* VASP energy: -5.378 eV/atom

Lattice parameters (Å, degrees): 4.9301 6.9747 7.7887 90.00 108.34 90.00
Space group P2/m (No. 10)
Asymmetric unit:
Er: 0.0000 0.2462 0.0000 (multiplicity 2)
Er: 0.3325 0.2492 0.6646 (multiplicity 4)
Zn: 0.5000 0.5000 0.0000 (multiplicity 1)
Pd: 0.1635 0.5000 0.3274 (multiplicity 2)
Pd: 0.1676 0.0000 0.3367 (multiplicity 2)
Pd: 0.5000 0.0000 0.0000 (multiplicity 1)

=====

# 5
The following is a PBE calculation of crystalline Nd2GdSc at its relaxed geometry, from Alexandria via LeMat-Bulk.

Output
* DOS at the Fermi energy: 1.5496 states/eV/atom
* energy of formation from the pure elements: 0.0360 eV per atom
* ΔE to the lowest computed polymorph: 0 meV per atom
* size of the total moment: 7.25 μB/f.u.
* VASP energy: -7.451 eV/atom

Lattice parameters (Å, degrees): 3.6094 3.6094 9.7097 90.00 90.00 90.00
Space group P4/mmm (No. 123)
Asymmetric unit:
Nd: 0.0000 0.0000 0.2361 (multiplicity 2)
Gd: 0.5000 0.5000 0.5000 (multiplicity 1)
Sc: 0.5000 0.5000 0.0000 (multiplicity 1)

=====

# 6
The following is a PBE calculation of crystalline ZrCd4Pd5 at its relaxed geometry, from Alexandria via LeMat-Bulk.

Output
* DOS at the Fermi energy: 0.5513 states/eV/atom
* energy of formation from the pure elements: -0.4547 eV per atom
* size of the total moment: 0.00 μB/f.u.
* VASP energy: -4.272 eV/atom

Lattice parameters (Å, degrees): 3.2128 3.2128 17.2736 90.00 90.00 90.00
Space group P4/mmm (No. 123)
Asymmetric unit:
Zr: 0.0000 0.0000 0.0000 (multiplicity 1)
Cd: 0.0000 0.0000 0.2046 (multiplicity 2)
Cd: 0.0000 0.0000 0.4020 (multiplicity 2)
Pd: 0.5000 0.5000 0.1009 (multiplicity 2)
Pd: 0.5000 0.5000 0.3038 (multiplicity 2)
Pd: 0.5000 0.5000 0.5000 (multiplicity 1)

=====

# 7
The following is a PBE calculation of crystalline SrPu2BrO4 at its relaxed geometry, from Alexandria via LeMat-Bulk.

Output
* uncorrected formation energy: -2.707 eV per atom
* DOS at the Fermi energy: 1.8481 states/eV/atom
* size of the total moment: 9.00 μB/f.u.
* VASP energy: -9.188 eV/atom

Lattice parameters (Å, degrees): 3.9941 3.9941 9.4598 90.00 90.00 90.00
Space group P4/mmm (No. 123)
Asymmetric unit:
Sr: 0.0000 0.0000 0.0000 (multiplicity 1)
Pu: 0.5000 0.5000 0.2642 (multiplicity 2)
Br: 0.0000 0.0000 0.5000 (multiplicity 1)
O: 0.0000 0.5000 0.1730 (multiplicity 4)

=====

# 8
The following is a PBE calculation of crystalline DyOsN at its relaxed geometry, from Alexandria via LeMat-Bulk.

Output
* uncorrected formation energy: 0.418 eV per atom
* DOS at the Fermi energy: 0.8341 states/eV/atom
* size of the total moment: 0.00 μB/f.u.
* VASP energy: -7.635 eV/atom

Lattice parameters (Å, degrees): 3.9823 4.0826 10.4327 90.00 90.00 90.00
Space group Fmm2 (No. 42)
Asymmetric unit:
Dy: 0.0000 0.0000 0.0000 (multiplicity 4)
Os: 0.0000 0.0000 0.7267 (multiplicity 4)
N: 0.0000 0.0000 0.3205 (multiplicity 4)

=====

# 9
The following is a PBE calculation of crystalline Ac6Pb5O at its relaxed geometry, from Alexandria via LeMat-Bulk.

Output
* uncorrected formation energy: -0.710 eV per atom
* DOS at the Fermi energy: 0.5868 states/eV/atom
* size of the total moment: 0.00 μB/f.u.
* VASP energy: -4.722 eV/atom

Lattice parameters (Å, degrees): 6.8513 16.6670 8.1705 90.00 107.28 90.00
Space group C2/m (No. 12)
Asymmetric unit:
Ac: 0.0171 0.1703 0.2482 (multiplicity 8)
Ac: 0.1683 0.5000 0.3191 (multiplicity 4)
Pb: 0.0000 0.0000 0.0000 (multiplicity 2)
Pb: 0.0000 0.3365 0.5000 (multiplicity 4)
Pb: 0.0000 0.3437 0.0000 (multiplicity 4)
O: 0.0000 0.0000 0.5000 (multiplicity 2)

=====

# 10
The following is a PBE calculation of crystalline LiAcPr2Tl4 at its relaxed geometry, from Alexandria via LeMat-Bulk.

Output
* DOS at the Fermi energy: 0.7946 states/eV/atom
* energy of formation from the pure elements: -0.3266 eV per atom
* size of the total moment: 0.00 μB/f.u.
* VASP energy: -3.457 eV/atom

Lattice parameters (Å, degrees): 5.4421 5.4421 28.4733 90.00 90.00 120.00
Space group R-3m (No. 166, hexagonal axes)
Asymmetric unit:
Li: 0.0000 0.0000 0.0000 (multiplicity 3)
Ac: 0.0000 0.0000 0.5000 (multiplicity 3)
Pr: 0.0000 0.0000 0.2594 (multiplicity 6)
Tl: 0.0000 0.0000 0.1176 (multiplicity 6)
Tl: 0.0000 0.0000 0.3724 (multiplicity 6)

=====

# 11
The following is a PBE calculation of crystalline Nd2ZnHg8 at its relaxed geometry, from Alexandria via LeMat-Bulk.

Output
* DOS at the Fermi energy: 0.6897 states/eV/atom
* energy of formation from the pure elements: -0.2659 eV per atom
* size of the total moment: 0.00 μB/f.u.
* VASP energy: -1.468 eV/atom

Lattice parameters (Å, degrees): 4.7050 4.7050 12.5386 90.00 90.00 90.00
Space group P4/mmm (No. 123)
Asymmetric unit:
Nd: 0.0000 0.0000 0.1943 (multiplicity 2)
Zn: 0.0000 0.0000 0.5000 (multiplicity 1)
Hg: 0.0000 0.5000 0.0000 (multiplicity 2)
Hg: 0.0000 0.5000 0.3737 (multiplicity 4)
Hg: 0.5000 0.5000 0.1880 (multiplicity 2)

=====

# 12
The following is a PBE calculation of crystalline Nb2TlBF at its relaxed geometry, from Alexandria via LeMat-Bulk.

Output
* uncorrected formation energy: 0.841 eV per atom
* DOS at the Fermi energy: 0.7701 states/eV/atom
* size of the total moment: 0.00 μB/f.u.
* VASP energy: -5.370 eV/atom

Lattice parameters (Å, degrees): 4.2012 4.2012 4.9896 90.00 90.00 90.00
Space group P4/mmm (No. 123)
Asymmetric unit:
Nb: 0.0000 0.5000 0.0000 (multiplicity 2)
Tl: 0.0000 0.0000 0.5000 (multiplicity 1)
B: 0.5000 0.5000 0.5000 (multiplicity 1)
F: 0.0000 0.0000 0.0000 (multiplicity 1)